Compound: Ce5Nd3Bi8
Source: Alexandria via LeMat-Bulk
Functional: GGA-PBE
Structure: relaxed

DOS at the Fermi energy = 105.76 states/eV per cell
calculated total energy = -5.541 eV per atom
ΔE_f = -0.8523 eV/atom

a b c (Å): 9.2070 9.2070 22.5663
angles (deg): 90.00 90.00 120.00
Space group R-3m (No. 166, hexagonal axes)
Inequivalent atoms, fractional coordinates:
Ce 0.0000 0.0000 0.0000 [3 per cell]
Ce 0.0000 0.0000 0.5000 [3 per cell]
Ce 0.0000 0.5000 0.0000 [9 per cell]
Nd 0.0000 0.5000 0.5000 [9 per cell]
Bi 0.0000 0.0000 0.2508 [6 per cell]
Bi 0.0008 0.5004 0.2505 [18 per cell]

***

Compound: Na2HgPbBr4
Source: Alexandria via LeMat-Bulk
Functional: GGA-PBE
Structure: relaxed

uncorrected formation energy = -1.0539 eV per atom
DOS at the Fermi energy = 0.00 states/eV per cell
calculated total energy = -2.721 eV per atom

a b c (Å): 14.375 4.430 8.668
angles (deg): 90.00 107.99 90.00
Space group C2/m (No. 12)
Inequivalent atoms, fractional coordinates:
Na 0.226 0.000 0.219 [4 per cell]
Hg 0.000 0.500 0.000 [2 per cell]
Pb 0.000 0.000 0.500 [2 per cell]
Br 0.130 0.500 0.424 [4 per cell]
Br 0.157 0.000 0.830 [4 per cell]

***

Compound: DyPuFe
Source: Alexandria via LeMat-Bulk
Functional: GGA-PBE
Structure: relaxed

energy above the lowest structure with this stoichiometry = 176 meV/atom
DOS at the Fermi energy = 18.79 states/eV per cell
calculated total energy = -8.864 eV per atom
ΔE_f = 0.2681 eV/atom

a b c (Å): 3.5637 3.5637 18.9980
angles (deg): 90.00 90.00 120.00
Space group R3m (No. 160, hexagonal axes)
Inequivalent atoms, fractional coordinates:
Dy 0.0000 0.0000 0.0000 [3 per cell]
Pu 0.0000 0.0000 0.8151 [3 per cell]
Fe 0.0000 0.0000 0.2249 [3 per cell]

***

Compound: SiSbTe2
Source: Alexandria via LeMat-Bulk
Functional: GGA-PBE
Structure: relaxed

energy above the lowest structure with this stoichiometry = 64 meV/atom
uncorrected formation energy = 0.1876 eV per atom
DOS at the Fermi energy = 1.88 states/eV per cell
calculated total energy = -3.770 eV per atom

a b c (Å): 4.318 4.339 6.128
angles (deg): 90.00 95.06 90.00
Space group P2/m (No. 10)
Inequivalent atoms, fractional coordinates:
Si 0.000 0.000 0.000 [1 per cell]
Sb 0.500 0.500 0.500 [1 per cell]
Te 0.000 0.000 0.500 [1 per cell]
Te 0.500 0.500 0.000 [1 per cell]

***

Compound: LuPuRu
Source: Alexandria via LeMat-Bulk
Functional: GGA-PBE
Structure: relaxed

energy above the lowest structure with this stoichiometry = 0 meV/atom
DOS at the Fermi energy = 14.09 states/eV per cell
calculated total energy = -9.582 eV per atom
ΔE_f = -0.2054 eV/atom

a b c (Å): 3.311 3.311 12.378
angles (deg): 90.00 90.00 90.00
Space group I4mm (No. 107)
Inequivalent atoms, fractional coordinates:
Lu 0.000 0.000 0.000 [2 per cell]
Pu 0.000 0.000 0.273 [2 per cell]
Ru 0.000 0.000 0.633 [2 per cell]

***

Compound: LiCuNi2
Source: Alexandria via LeMat-Bulk
Functional: GGA-PBE
Structure: relaxed

DOS at the Fermi energy = 11.67 states/eV per cell
calculated total energy = -4.355 eV per atom
ΔE_f = 0.0386 eV/atom

a b c (Å): 3.507 3.507 7.301
angles (deg): 90.00 90.00 90.00
Space group I4/mmm (No. 139)
Inequivalent atoms, fractional coordinates:
Li 0.000 0.000 0.000 [2 per cell]
Cu 0.000 0.000 0.500 [2 per cell]
Ni 0.000 0.500 0.250 [4 per cell]

***

Compound: LaPrRhBr
Source: Alexandria via LeMat-Bulk
Functional: GGA-PBE
Structure: relaxed

uncorrected formation energy = -1.1154 eV per atom
DOS at the Fermi energy = 3.65 states/eV per cell
calculated total energy = -5.798 eV per atom

a b c (Å): 4.1462 4.1462 24.0734
angles (deg): 90.00 90.00 120.00
Space group R3m (No. 160, hexagonal axes)
Inequivalent atoms, fractional coordinates:
La 0.0000 0.0000 0.0000 [3 per cell]
Pr 0.0000 0.0000 0.2032 [3 per cell]
Rh 0.0000 0.0000 0.6037 [3 per cell]
Br 0.0000 0.0000 0.4346 [3 per cell]

***

Compound: Ga2NiPSe
Source: Alexandria via LeMat-Bulk
Functional: GGA-PBE
Structure: relaxed

uncorrected formation energy = 0.1298 eV per atom
DOS at the Fermi energy = 2.13 states/eV per cell
calculated total energy = -4.016 eV per atom

a b c (Å): 4.873 4.873 4.169
angles (deg): 90.00 90.00 90.00
Space group P4/mmm (No. 123)
Inequivalent atoms, fractional coordinates:
Ga 0.000 0.500 0.000 [2 per cell]
Ni 0.000 0.000 0.500 [1 per cell]
P 0.000 0.000 0.000 [1 per cell]
Se 0.500 0.500 0.500 [1 per cell]

***

Compound: ReRuO2
Source: Alexandria via LeMat-Bulk
Functional: GGA-PBE
Structure: relaxed

energy above the lowest structure with this stoichiometry = 0 meV/atom
uncorrected formation energy = -0.5715 eV per atom
DOS at the Fermi energy = 10.60 states/eV per cell
calculated total energy = -8.482 eV per atom

a b c (Å): 2.7175 2.7175 20.6191
angles (deg): 90.00 90.00 120.00
Space group R-3m (No. 166, hexagonal axes)
Inequivalent atoms, fractional coordinates:
Re 0.0000 0.0000 0.0000 [3 per cell]
Ru 0.0000 0.0000 0.5000 [3 per cell]
O 0.0000 0.0000 0.4012 [6 per cell]

***

Compound: LiDy3Al3
Source: Alexandria via LeMat-Bulk
Functional: GGA-PBE
Structure: relaxed

DOS at the Fermi energy = 20.93 states/eV per cell
calculated total energy = -4.036 eV per atom
ΔE_f = -0.1864 eV/atom

a b c (Å): 10.042 9.738 7.035
angles (deg): 90.00 91.90 90.00
Space group C2/m (No. 12)
Inequivalent atoms, fractional coordinates:
Li 0.025 0.000 0.313 [4 per cell]
Dy 0.043 0.500 0.763 [4 per cell]
Dy 0.245 0.285 0.257 [8 per cell]
Al 0.000 0.212 0.000 [4 per cell]
Al 0.000 0.253 0.500 [4 per cell]
Al 0.187 0.000 0.019 [4 per cell]

***

Compound: Cu3H5Rh12
Source: Alexandria via LeMat-Bulk
Functional: GGA-PBE
Structure: relaxed

DOS at the Fermi energy = 221.03 states/eV per cell
calculated total energy = -5.604 eV per atom

a b c (Å): 12.349 12.349 12.349
angles (deg): 90.00 90.00 90.00
Space group Ia-3d (No. 230)
Inequivalent atoms, fractional coordinates:
Cu 0.000 0.250 0.125 [24 per cell]
H 0.000 0.000 0.000 [16 per cell]
H 0.000 0.250 0.375 [24 per cell]
Rh 0.041 0.052 0.645 [96 per cell]

***

Compound: K4NaP2
Source: Alexandria via LeMat-Bulk
Functional: GGA-PBE
Structure: relaxed

DOS at the Fermi energy = 27.01 states/eV per cell
calculated total energy = -2.525 eV per atom
ΔE_f = -0.1636 eV/atom

a b c (Å): 5.6125 5.6125 30.0911
angles (deg): 90.00 90.00 120.00
Space group R-3m (No. 166, hexagonal axes)
Inequivalent atoms, fractional coordinates:
K 0.0000 0.0000 0.0979 [6 per cell]
K 0.0000 0.0000 0.2971 [6 per cell]
Na 0.0000 0.0000 0.5000 [3 per cell]
P 0.0000 0.0000 0.4081 [6 per cell]